{"formula": "KIr2W", "functional": "PBE", "state": "optimized geometry", "ef_ev_per_atom": 0.665, "final_energy_ev_per_atom": -7.278, "spacegroup": "Cm", "e_above_lowest_polymorph_mev_per_atom": 388, "lattice_angstrom": [[-4.021, 3.203, 1.066], [-4.879, 1.635, -1.046], [-3.392, -3.655, 4.092]], "species": ["Ir", "K", "Ir", "W"], "frac_coords": [[0.011, 0.011, 0.046], [0.490, 0.490, 0.526], [0.710, 0.710, 0.823], [0.289, 0.289, 0.105]]}

=====

{"formula": "Na2Tl2RhO6", "functional": "PBE", "state": "optimized geometry", "final_energy_ev_per_atom": -5.010, "spacegroup": "C2/m", "raw_formation_energy_mev_per_atom": -967, "lattice_angstrom": [[5.755, 0.050, 0.117], [-2.801, 5.027, 0.117], [-1.000, -1.718, 5.476]], "species": ["Tl", "O", "O", "Tl", "Na", "O", "O", "O", "Rh", "O", "Na"], "frac_coords": [[0.337, 0.663, 0.500], [0.775, 0.775, 0.701], [0.225, 0.225, 0.299], [0.663, 0.337, 0.500], [0.158, 0.842, 0.000], [0.649, 0.946, 0.299], [0.054, 0.351, 0.701], [0.946, 0.649, 0.299], [0.000, 0.000, 0.500], [0.351, 0.054, 0.701], [0.842, 0.158, 0.000]]}

=====

{"formula": "Ac2CdGa5", "functional": "PBE", "state": "optimized geometry", "ef_ev_per_atom": -0.409, "final_energy_ev_per_atom": -3.442, "spacegroup": "I4mm", "lattice_angstrom": [[6.668, -0.084, -0.119], [-3.356, 5.762, 0.119], [-3.356, -1.848, 5.459]], "species": ["Ga", "Ac", "Ga", "Ga", "Ac", "Ga", "Ga", "Cd"], "frac_coords": [[0.398, 0.693, 0.693], [0.500, 0.745, 0.245], [0.000, 0.295, 0.693], [0.000, 0.693, 0.295], [0.500, 0.245, 0.745], [0.000, 0.280, 0.280], [0.602, 0.295, 0.295], [0.000, 0.977, 0.977]]}

=====

{"formula": "LaHfTa2V", "functional": "PBE", "state": "optimized geometry", "ef_ev_per_atom": 1.082, "final_energy_ev_per_atom": -8.459, "spacegroup": "P4/mmm", "lattice_angstrom": [[4.793, 0.000, 0.000], [0.000, 5.065, 0.000], [0.000, 0.000, 4.793]], "species": ["La", "Hf", "Ta", "Ta", "V"], "frac_coords": [[0.000, 0.500, 0.000], [0.500, 0.500, 0.500], [0.000, 0.000, 0.500], [0.500, 0.000, 0.000], [0.000, 0.000, 0.000]]}

=====

Q: Which density of states at the Fermi level values were calculated for the entries above? A: 3.9; 3.6; 2.8; 8.5, in states/eV/cell.